The following is a PBE calculation of a relaxed structure of NbInB2, from Alexandria via LeMat-Bulk.

## Properties
Space group: No. 122
DFT formation energy, meV/atom: 773
DFT total energy, eV/f.u.: -23.1

Cell: 5.3560 5.3560 5.3560 Å, 111.33 111.33 105.82°
Closest atoms and distances in Å follow each position.
Sites, in units of the cell vectors:
Nb 0.0000 0.0000 0.0000  4 B 2.25
Nb 0.7500 0.2500 0.5000  4 B 2.25
In 0.2500 0.7500 0.5000  4 B 2.32
In 0.5000 0.5000 0.0000  4 B 2.32
B 0.1159 0.6250 0.9909  2 Nb 2.25, 2 In 2.32
B 0.3750 0.3659 0.4909  2 Nb 2.25, 2 In 2.32
B 0.6341 0.1250 0.0091  2 Nb 2.25, 2 In 2.32
B 0.8750 0.8841 0.5091  2 Nb 2.25, 2 In 2.32

The following is a PBE calculation of a relaxed structure of MnBN2, from Alexandria via LeMat-Bulk.

## Properties
Space group: No. 166
DFT total energy, eV/f.u.: -33.7

Cell: 5.1595 5.1595 5.1595 Å, 35.36 35.36 35.36°
Closest atoms and distances in Å follow each position.
Sites, in units of the cell vectors:
Mn 0.0000 0.0000 0.0000  6 N 2.10
B 0.5000 0.5000 0.5000  2 N 1.34
N 0.4075 0.4075 0.4075  1 B 1.34
N 0.5925 0.5925 0.5925  1 B 1.34

The following is a PBE calculation of a relaxed structure of Lu2BeRh, from Alexandria via LeMat-Bulk.

## Properties
Space group: No. 123
DFT formation energy, meV/atom: -473
DFT total energy, eV/f.u.: -22.0

Cell: 3.3521 3.3521 6.6612 Å, 90.00 90.00 90.00°
Closest atoms and distances in Å follow each position.
Sites, in units of the cell vectors:
Lu 0.0000 0.0000 0.2490  4 Be 2.89, 4 Rh 2.90
Lu 0.0000 0.0000 0.7510  4 Be 2.89, 4 Rh 2.90
Be 0.5000 0.5000 0.0000  8 Lu 2.89
Rh 0.5000 0.5000 0.5000  8 Lu 2.90